A plane-wave DFT calculation with PBE+U was carried out for a relaxed Li3CrBAsO7 crystal.

abc: 5.1255 6.5256 8.5562
angles: 90.00 95.41 90.00
Positions (direct):
1 O 0.4919 0.2500 0.6669
2 O 0.5081 0.7500 0.3331
3 O 0.8616 0.2500 0.9023
4 O 0.0453 0.2500 0.5849
5 O 0.9547 0.7500 0.4151
6 O 0.8275 0.0546 0.2059
7 O 0.1725 0.5546 0.7941
8 O 0.6341 0.7500 0.6127
9 O 0.8275 0.4454 0.2059
10 O 0.6056 0.7500 0.9667
11 O 0.3659 0.2500 0.3873
12 O 0.1384 0.7500 0.0977
13 O 0.1725 0.9454 0.7941
14 O 0.3944 0.2500 0.0333
15 B 0.6994 0.7500 0.4631
16 B 0.3006 0.2500 0.5369
17 As 0.2715 0.7500 0.9221
18 As 0.7285 0.2500 0.0779
19 Li 0.2540 0.9925 0.2723
20 Li 0.2348 0.7500 0.5934
21 Li 0.7460 0.0075 0.7277
22 Li 0.7652 0.2500 0.4066
23 Li 0.7460 0.4925 0.7277
24 Li 0.2540 0.5075 0.2723
25 Cr 0.2119 0.2500 0.8115
26 Cr 0.7881 0.7500 0.1885

Values from the calculation:
DOS at the Fermi energy ... 0.0 states/eV/f.u.
Electronic total energy ... -169.2 eV/cell
Symmetry ... P2_1/m
Spin magnetization ... 2.98 μB/f.u.
V ... 142.45 Å³/f.u.